VASP calculation (PBE-GGA) on a relaxed structure of ZrBeReSb.

Unit cell a=4.5620 b=4.5620 c=4.5620 alpha=60.00 beta=60.00 gamma=60.00
Sites, in units of the cell vectors:
Zr: 0.0000 0.0000 0.0000
Be: 0.2500 0.2500 0.2500
Re: 0.5000 0.5000 0.5000
Sb: 0.7500 0.7500 0.7500

For the distance to the lowest polymorph of the same formula, the calculation gives 56 meV per atom. The volume comes out at 16.784 Å³ per atom. The calculation puts the calculated total energy at -6.9863 eV/atom.

VASP calculation (PBE-GGA) on a relaxed structure of ZrBeReSb.

Unit cell a=4.5895 b=4.5895 c=4.5895 alpha=60.00 beta=60.00 gamma=60.00
Sites, in units of the cell vectors:
Zr: 0.0000 0.0000 0.0000
Be: 0.5000 0.5000 0.5000
Re: 0.2500 0.2500 0.2500
Sb: 0.7500 0.7500 0.7500

For the distance to the lowest polymorph of the same formula, the calculation gives 219 meV per atom. The volume comes out at 17.089 Å³ per atom. The calculation puts the calculated total energy at -6.8233 eV/atom.

VASP calculation (PBE-GGA) on a relaxed structure of ZrBeReSb.

Unit cell a=4.5578 b=4.5578 c=4.5578 alpha=60.00 beta=60.00 gamma=60.00
Sites, in units of the cell vectors:
Zr: 0.0000 0.0000 0.0000
Be: 0.2500 0.2500 0.2500
Re: 0.7500 0.7500 0.7500
Sb: 0.5000 0.5000 0.5000

For the distance to the lowest polymorph of the same formula, the calculation gives 0 meV per atom. The volume comes out at 16.738 Å³ per atom. The calculation puts the calculated total energy at -7.0421 eV/atom.

VASP calculation (PBE-GGA) on a relaxed structure of ScBeRe.

Unit cell a=4.2943 b=4.2943 c=4.2943 alpha=60.00 beta=60.00 gamma=60.00
Sites, in units of the cell vectors:
Sc: 0.0000 0.0000 0.0000
Be: 0.7500 0.7500 0.7500
Re: 0.2500 0.2500 0.2500

For the distance to the lowest polymorph of the same formula, the calculation gives 534 meV per atom. The volume comes out at 18.665 Å³ per atom. The calculation puts the calculated total energy at -6.0715 eV/atom.

Which formula does entry 2 have?
ZrBeReSb

Among the records above, which one has the lowest distance to the lowest polymorph of the same formula?
number 3

What is the formula in the fourth record?
ScBeRe

Which value of volume does entry 2 give?
17.089 Å³ per atom